Compound: BaLiTlBi
Source: the Alexandria database
Functional: PBE-GGA
Structure: optimized geometry

abc: 5.7249 5.7249 5.7249
angles: 60.00 60.00 60.00
Closest atoms and distances in Å follow each position.
Sites, in units of the cell vectors:
Tl: 0.2500 0.2500 0.2500  4 Ba 3.51, 4 Li 3.51
Ba: 0.5000 0.5000 0.5000  4 Tl 3.51, 4 Bi 3.51
Li: 0.0000 0.0000 0.0000  4 Bi 3.51, 4 Tl 3.51
Bi: 0.7500 0.7500 0.7500  4 Ba 3.51, 4 Li 3.51

Energy of formation from the pure elements ... -0.410 eV/atom



Compound: BaLiTlBi2
Source: the Alexandria database
Functional: PBE-GGA
Structure: optimized geometry

abc: 5.4816 5.4816 5.3746
angles: 90.00 90.00 90.00
Closest atoms and distances in Å follow each position.
Sites, in units of the cell vectors:
Bi: 0.5000 0.0000 0.0000  2 Li 2.74
Li: 0.0000 0.0000 0.0000  2 Tl 2.69, 4 Bi 2.74
Ba: 0.5000 0.5000 0.5000  8 Bi 3.84, 4 Tl 3.88
Bi: 0.0000 0.5000 0.0000  2 Li 2.74
Tl: 0.0000 0.0000 0.5000  2 Li 2.69

Energy of formation from the pure elements ... -0.388 eV/atom
Distance to the lowest polymorph of the same formula ... 0.1151 eV per atom



Compound: Ba2LiTl6Bi
Source: the Alexandria database
Functional: PBE-GGA
Structure: optimized geometry

abc: 8.0092 8.2461 11.2303
angles: 44.37 45.76 72.56
Closest atoms and distances in Å follow each position.
Sites, in units of the cell vectors:
Li: 0.5000 0.5000 0.0000  6 Tl 3.00-3.16
Ba: 0.7241 0.2669 0.5047  7 Tl 3.64-3.86, 2 Bi 3.82-3.89
Tl: 0.1931 0.3139 0.4803  1 Li 3.07, 3 Tl 3.14-3.33, 1 Bi 3.37
Tl: 0.2820 0.2026 0.0262  4 Tl 3.14-3.42, 1 Li 3.16, 1 Bi 3.45
Tl: 0.7180 0.7974 0.9738  4 Tl 3.14-3.42, 1 Li 3.16, 1 Bi 3.45
Ba: 0.2759 0.7331 0.4953  7 Tl 3.64-3.86, 2 Bi 3.82-3.89
Bi: 0.0000 0.0000 0.0000  6 Tl 3.24-3.45
Tl: 0.2665 0.7483 0.8156  1 Li 3.00, 1 Bi 3.24, 2 Tl 3.27-3.33
Tl: 0.7335 0.2517 0.1844  1 Li 3.00, 1 Bi 3.24, 2 Tl 3.27-3.33
Tl: 0.8069 0.6861 0.5197  1 Li 3.07, 3 Tl 3.14-3.33, 1 Bi 3.37

Energy of formation from the pure elements ... -0.254 eV/atom



Compound: Ba3Li2Tl2Bi4
Source: the Alexandria database
Functional: PBE-GGA
Structure: optimized geometry

abc: 5.2550 5.2550 16.8518
angles: 90.00 90.00 120.00
Closest atoms and distances in Å follow each position.
Sites, in units of the cell vectors:
Ba: 0.0000 0.0000 0.2665  6 Bi 3.60-3.79, 3 Li 3.79
Bi: 0.3333 0.6667 0.3815  4 Tl 3.13-3.16
Bi: 0.6667 0.3333 0.1315  3 Li 3.03
Tl: 0.3333 0.6667 0.5671  4 Bi 3.13-3.16
Tl: 0.6667 0.3333 0.4329  4 Bi 3.13-3.16
Bi: 0.3333 0.6667 0.8685  3 Li 3.03
Ba: 0.0000 0.0000 0.0000  6 Bi 3.76, 6 Li 3.76
Li: 0.6667 0.3333 0.8680  3 Bi 3.03
Ba: 0.0000 0.0000 0.7335  6 Bi 3.60-3.79, 3 Li 3.79
Bi: 0.6667 0.3333 0.6185  4 Tl 3.13-3.16
Li: 0.3333 0.6667 0.1320  3 Bi 3.03

Energy of formation from the pure elements ... -0.583 eV/atom